1.
4
Lattice="-2.038 2.038 4.613 2.038 -2.038 4.613 2.038 2.038 -4.613" Properties=species:S:1:pos:R:3 comment="Sc2SbOs (PBE-GGA, optimized geometry)" sg="I-4m2, No. 119" e_tot_ev_per_atom=-7.359 formation_energy_uncorrected_ev_per_atom=-0.355 dos_at_fermi_per_ev_atom=0.761 pbc="T T T"
Sc 0.000 0.000 0.000
Sc 0.000 2.038 2.306
Sb 0.000 0.000 4.613
Os 2.038 0.000 2.306

2.
12
Lattice="4.347 0.000 0.000 0.000 5.059 0.000 -2.154 0.000 6.553" Properties=species:S:1:pos:R:3 comment="AcHo2AsO8 (PBE-GGA, optimized geometry)" sg="P2/m, No. 10" e_tot_ev_per_atom=-7.278 formation_energy_uncorrected_ev_per_atom=-2.480 dos_at_fermi_per_ev_atom=0.452 pbc="T T T"
Ac 0.000 0.000 0.000
Ho -0.048 2.530 4.594
Ho 2.241 2.530 1.960
As 1.097 0.000 3.277
O 0.097 1.332 2.514
O 0.097 3.727 2.514
O 1.061 2.530 0.013
O 0.102 0.000 4.926
O 2.091 0.000 1.627
O 1.132 2.530 6.541
O 2.096 1.332 4.039
O 2.096 3.727 4.039

3.
9
Lattice="6.430 -3.713 0.000 6.430 3.713 0.000 -0.004 0.000 2.599" Properties=species:S:1:pos:R:3 comment="Li6IrPd2 (PBE-GGA, optimized geometry)" sg="C2/m, No. 12" e_tot_ev_per_atom=-3.727 formation_enthalpy_0k_ev_per_atom=-0.31 dos_at_fermi_per_ev_atom=0.230 pbc="T T T"
Li 4.300 1.227 2.581
Li 6.430 2.454 0.000
Li 4.300 -1.227 2.581
Li 8.555 1.227 0.018
Li 6.430 -2.454 0.000
Li 8.555 -1.227 0.018
Ir 6.428 0.000 1.299
Pd 2.141 0.000 1.300
Pd 10.715 0.000 1.299

4.
4
Lattice="3.100 0.000 0.000 0.000 4.342 0.000 -1.543 0.000 7.298" Properties=species:S:1:pos:R:3 comment="KAg2Se (PBE-GGA, optimized geometry)" sg="Pm, No. 6" e_tot_ev_per_atom=-2.731 formation_energy_uncorrected_ev_per_atom=-0.159 dos_at_fermi_per_ev_atom=0.266 pbc="T T T"
K 0.000 0.000 0.000
Ag 0.013 2.171 4.724
Ag 1.562 0.000 3.642
Se 1.549 2.171 1.890